KTaSi2 after structural relaxation. Source: the Alexandria database, functional GGA-PBE.

Geometry as POSCAR:
```
KTaSi2
1.0
0.0000 3.1508 3.8224
3.1188 0.0000 3.8224
3.1188 3.1508 0.0000
K Ta Si
1 1 2
Direct
0.0000 0.0000 0.0000
0.5000 0.5000 0.5000
0.2500 0.2500 0.2500
0.7500 0.7500 0.7500
```

Calculated volume = 18.8 Å³/atom
Fermi-level density of states = 0.722 states/eV per atom
Offset from the most stable computed form = 17.03 kcal/mol of atoms
Formation energy without anion corrections = 3.24 eV/f.u.